Computed, not measured: a relaxed structure of HoSc2Pd4 at the GGA-PBE level of DFT.

## Properties
For the density of states at the Fermi level, the calculation gives 3.30 states/eV per cell. For the formation energy, the calculation gives -4.4 eV per formula unit. For the mass density, the calculation gives 8.00 g/cm³. As for the space group: I4/mmm.

Lattice parameters (Å, degrees): 5.7023 5.7023 5.7023 116.28 106.18 106.18
Fractional coordinates of all 7 atoms:
Ho1 0.0000 0.0000 0.0000
Sc1 0.5000 0.5000 0.0000
Sc2 0.5000 0.0000 0.5000
Pd1 0.5000 0.0000 0.0000
Pd2 0.5000 0.5000 0.5000
Pd3 0.0000 0.0000 0.5000
Pd4 0.0000 0.5000 0.0000

Computed, not measured: a relaxed structure of HoSc2Pd at the GGA-PBE level of DFT.

## Properties
For the density of states at the Fermi level, the calculation gives 5.46 states/eV per cell. For the formation energy, the calculation gives -1.6 eV per formula unit. For the mass density, the calculation gives 6.55 g/cm³. The value obtained for the energy above the most stable polymorph in this dataset is 55 meV/atom. As for the space group: P4/mmm.

Lattice parameters (Å, degrees): 3.3892 3.3892 7.9699 90.00 90.00 90.00
Fractional coordinates of all 4 atoms:
Sc1 0.0000 0.0000 0.8016
Sc2 0.0000 0.0000 0.1984
Ho1 0.5000 0.5000 0.5000
Pd1 0.5000 0.5000 0.0000

Computed, not measured: a relaxed structure of HoSc2Pd2 at the GGA-PBE level of DFT.

## Properties
For the density of states at the Fermi level, the calculation gives 8.83 states/eV per cell. For the formation energy, the calculation gives -3.3 eV per formula unit. For the mass density, the calculation gives 6.93 g/cm³. As for the space group: P2_1/m.

Lattice parameters (Å, degrees): 4.6114 5.0640 10.0186 106.53 90.00 90.00
Fractional coordinates of all 10 atoms:
Ho1 0.2500 0.7667 0.2304
Ho2 0.7500 0.2333 0.7696
Sc1 0.2500 0.7828 0.8848
Sc2 0.7500 0.2172 0.1152
Sc3 0.2500 0.2923 0.5187
Sc4 0.7500 0.7077 0.4813
Pd1 0.2500 0.8664 0.6333
Pd2 0.7500 0.1336 0.3667
Pd3 0.2500 0.3202 0.9691
Pd4 0.7500 0.6798 0.0309

Computed, not measured: a relaxed structure of Ho4ScPd5 at the GGA-PBE level of DFT.

## Properties
For the density of states at the Fermi level, the calculation gives 7.28 states/eV per cell. For the formation energy, the calculation gives -8.9 eV per formula unit. For the mass density, the calculation gives 9.95 g/cm³. As for the space group: P4/mmm.

Lattice parameters (Å, degrees): 3.4181 3.4181 17.6654 90.00 90.00 90.00
Fractional coordinates of all 10 atoms:
Ho1 0.0000 0.0000 0.1936
Ho2 0.0000 0.0000 0.3977
Ho3 0.0000 0.0000 0.6023
Ho4 0.0000 0.0000 0.8064
Sc1 0.0000 0.0000 0.0000
Pd1 0.5000 0.5000 0.0895
Pd2 0.5000 0.5000 0.2959
Pd3 0.5000 0.5000 0.5000
Pd4 0.5000 0.5000 0.7041
Pd5 0.5000 0.5000 0.9105